Entry 1:
First-principles (GGA-PBE) data for a relaxed Tl2Hg2As crystal, as listed in Alexandria via LeMat-Bulk.

abc: 7.404 7.404 5.174
angles: 90.00 90.00 90.00
Atoms (fractional coordinates):
1 Tl 0.176 0.324 0.000
2 Tl 0.324 0.824 0.000
3 Tl 0.676 0.176 0.000
4 Tl 0.824 0.676 0.000
5 Hg 0.140 0.640 0.500
6 Hg 0.360 0.140 0.500
7 Hg 0.640 0.860 0.500
8 Hg 0.860 0.360 0.500
9 As 0.000 0.000 0.500
10 As 0.500 0.500 0.500

Symmetry: P4/mbm
Raw total energy (eV per cell): -19.2
ΔE to the lowest computed polymorph (kJ per mole of atoms): 6.39

Entry 2:
First-principles (GGA-PBE) data for a relaxed TlHgAs2 crystal, as listed in Alexandria via LeMat-Bulk.

abc: 4.129 4.129 5.807
angles: 90.00 90.00 90.00
Atoms (fractional coordinates):
1 Tl 0.000 0.000 0.000
2 Hg 0.500 0.500 0.000
3 As 0.000 0.500 0.500
4 As 0.500 0.000 0.500

Symmetry: P4/mmm
Raw total energy (eV per cell): -10.6
ΔE to the lowest computed polymorph (kJ per mole of atoms): 31.81

Question: Which formula does entry 1 have?
Answer: Tl2Hg2As

Question: The highest raw total energy belongs to which entry?
Answer: TlHgAs2